Model P:
Nd2Ho2CI4Cl: optimized geometry, PBE-GGA.

extended XYZ file:
```
10
Lattice="-5.4818 7.8663 -1.7635 -4.5684 6.7011 -5.4096 -5.7454 -6.1183 0.5161" Properties=species:S:1:pos:R:3 pbc="T T T"
C -5.0251 7.2837 -3.5866
Cl -7.8978 4.2245 -3.3285
Ho -11.1665 13.3445 -7.0619
Ho -4.6291 -4.8955 0.4049
I -9.4920 10.9511 -5.8776
I -3.6876 0.0824 -0.9501
I -12.1080 8.3666 -5.7070
I -6.3037 -2.5021 -0.7795
Nd -6.7890 8.8129 -4.5172
Nd -9.0066 -0.3639 -2.1399
```

Computed properties:
Calculated density, kg/m³: 6320



Model Q:
Nd2Ho2CI4Cl: optimized geometry, PBE-GGA.

extended XYZ file:
```
10
Lattice="9.8068 -1.9858 0.0000 9.8068 1.9858 0.0000 -1.6884 0.0000 8.1350" Properties=species:S:1:pos:R:3 pbc="T T T"
C 9.8068 0.0000 0.0000
Cl 8.9625 0.0000 4.0675
Ho 12.1430 0.0000 0.5314
Ho 5.7820 0.0000 7.6036
I 15.9946 0.0000 1.4083
I 2.6233 0.0000 2.8133
I 15.3018 0.0000 5.3217
I 1.9305 0.0000 6.7267
Nd 19.2255 0.0000 1.7128
Nd -1.3004 0.0000 6.4222
```

Computed properties:
Calculated density, kg/m³: 6150



Short version: model P is the least stable of them.